Entry 1:
CeSm2DyEr: optimized geometry, PBE-GGA.

Calculated values
E_tot in eV per atom: -4.6136
Formation enthalpy at 0 K in eV per atom: 0.294

Cell: 7.7861 7.0621 5.9427 Å, 89.97 90.00 90.00°
Atoms (fractional coordinates):
Ce  0.0000  0.0000  0.0000
Ce  0.0000  0.0000  0.5000
Sm  0.6813  0.7204  0.7500
Sm  0.6813  0.2796  0.7500
Sm  0.3187  0.7204  0.2500
Sm  0.3187  0.2796  0.2500
Dy  0.6296  0.0000  0.2500
Dy  0.3704  0.0000  0.7500
Er  0.1353  0.5000  0.7500
Er  0.8647  0.5000  0.2500

=====

Entry 2:
TaTi2Pt2: optimized geometry, PBE-GGA.

Calculated values
E_tot in eV per atom: -8.5619
Formation enthalpy at 0 K in eV per atom: -0.617
Offset from the most stable computed form in eV per atom: 0.0000

Cell: 7.4817 7.4817 2.9833 Å, 90.00 90.00 90.00°
Atoms (fractional coordinates):
Ti  0.1674  0.6674  0.5000
Ti  0.6674  0.8326  0.5000
Ti  0.8326  0.3326  0.5000
Ti  0.3326  0.1674  0.5000
Pt  0.3682  0.8682  0.0000
Pt  0.8682  0.6318  0.0000
Pt  0.6318  0.1318  0.0000
Pt  0.1318  0.3682  0.0000
Ta  0.0000  0.0000  0.0000
Ta  0.5000  0.5000  0.0000

=====

Entry 3:
Tb6DyHo6: optimized geometry, PBE-GGA.

Calculated values
E_tot in eV per atom: -4.3733
Formation enthalpy at 0 K in eV per atom: 0.231

Cell: 6.5242 6.5247 11.0019 Å, 90.00 90.00 115.17°
Atoms (fractional coordinates):
Tb  0.0000  0.0000  0.6677
Tb  0.0000  0.0000  0.3323
Tb  0.3553  0.6434  0.0000
Tb  0.6447  0.3566  0.0000
Tb  0.2630  0.7372  0.5000
Tb  0.7370  0.2628  0.5000
Dy  0.0000  0.0000  0.0000
Ho  0.0000  0.5000  0.7754
Ho  0.5000  0.0000  0.7758
Ho  0.5000  0.5000  0.6974
Ho  0.5000  0.0000  0.2242
Ho  0.0000  0.5000  0.2246
Ho  0.5000  0.5000  0.3026

=====

Entry 4:
Na2Mg2Os: optimized geometry, PBE-GGA.

Calculated values
E_tot in eV per atom: -2.4468
Formation enthalpy at 0 K in eV per atom: 0.965
Offset from the most stable computed form in eV per atom: 0.0777

Cell: 5.1011 5.1011 5.2700 Å, 61.05 61.05 90.00°
Atoms (fractional coordinates):
Na  0.3606  0.3606  0.2788
Na  0.6394  0.6394  0.7212
Mg  0.7500  0.2500  0.5000
Mg  0.2500  0.7500  0.5000
Os  0.0000  0.0000  0.0000

=====

Entry 5:
P2C: optimized geometry, PBE-GGA.

Calculated values
E_tot in eV per atom: -5.5347
Formation enthalpy at 0 K in eV per atom: 1.147
Offset from the most stable computed form in eV per atom: 0.7161

Cell: 2.7788 2.7788 12.4217 Å, 90.00 90.00 120.00°
Atoms (fractional coordinates):
P  0.3333  0.6667  0.1026
P  0.6667  0.3333  0.6026
P  0.3333  0.6667  0.3974
P  0.6667  0.3333  0.8974
C  0.0000  0.0000  0.0000
C  0.0000  0.0000  0.5000

=====

Entry 6:
ZrSc2Te: optimized geometry, PBE-GGA.

Calculated values
E_tot in eV per atom: -6.4807
Uncorrected formation energy in eV/f.u.: -1.570

Cell: 5.7149 5.7149 5.7149 Å, 135.57 135.57 64.64°
Atoms (fractional coordinates):
Sc  0.0000  0.0000  0.0000
Sc  0.2500  0.7500  0.5000
Te  0.5000  0.5000  0.0000
Zr  0.7500  0.2500  0.5000

=====

Entry 7:
InSn2H: optimized geometry, PBE-GGA.

Calculated values
E_tot in eV per atom: -3.1915
Offset from the most stable computed form in eV per atom: 0.1809

Cell: 5.5940 5.5940 7.5855 Å, 68.36 68.36 90.00°
Atoms (fractional coordinates):
H  0.5000  0.5000  0.0000
H  0.2500  0.7500  0.5000
Sn  0.4842  0.1250  0.2500
Sn  0.2658  0.6250  0.2500
Sn  0.3750  0.5158  0.7500
Sn  0.8750  0.7342  0.7500
In  0.0000  0.0000  0.0000
In  0.7500  0.2500  0.5000

=====

Entry 8:
BaPuCd10: optimized geometry, PBE-GGA.

Calculated values
E_tot in eV per atom: -2.2244
Formation enthalpy at 0 K in eV per atom: -0.107

Cell: 4.9331 6.0115 10.4626 Å, 90.00 90.00 90.00°
Atoms (fractional coordinates):
Ba  0.0000  0.0000  0.0000
Pu  0.0000  0.5000  0.5000
Cd  0.0000  0.0000  0.3428
Cd  0.0000  0.5000  0.8222
Cd  0.0000  0.5000  0.1778
Cd  0.0000  0.0000  0.6572
Cd  0.5000  0.0000  0.5000
Cd  0.5000  0.5000  0.0000
Cd  0.5000  0.2540  0.2581
Cd  0.5000  0.7460  0.7419
Cd  0.5000  0.7460  0.2581
Cd  0.5000  0.2540  0.7419

=====

Entry 9:
Ho7Hg2Os2: optimized geometry, PBE-GGA.

Calculated values
E_tot in eV per atom: -5.2337
Formation enthalpy at 0 K in eV per atom: -0.224

Cell: 6.7107 7.0959 6.7107 Å, 90.00 106.03 90.00°
Atoms (fractional coordinates):
Ho  0.9998  0.2504  0.5003
Ho  0.5003  0.7496  0.9998
Ho  0.0002  0.7496  0.4997
Ho  0.4997  0.2504  0.0002
Ho  0.0000  0.0000  0.0000
Ho  0.5002  0.7589  0.4998
Ho  0.4998  0.2411  0.5002
Hg  0.8158  0.5000  0.8158
Hg  0.1842  0.5000  0.1842
Os  0.7096  0.0000  0.2904
Os  0.2904  0.0000  0.7096

=====

Entry 10:
FeSiRu2: optimized geometry, PBE-GGA.

Calculated values
E_tot in eV per atom: -8.3021
Uncorrected formation energy in eV/f.u.: -0.771

Cell: 2.7689 2.7689 6.4702 Å, 90.00 90.00 90.00°
Atoms (fractional coordinates):
Fe  0.5000  0.5000  0.7170
Ru  0.0000  0.0000  0.9893
Ru  0.5000  0.5000  0.2771
Si  0.0000  0.0000  0.5165

=====

Entry 11:
PaMnCoOs: optimized geometry, PBE-GGA.

Calculated values
E_tot in eV per atom: -9.2206
Formation enthalpy at 0 K in eV per atom: 0.030

Cell: 4.5581 4.5581 4.5581 Å, 60.00 60.00 60.00°
Atoms (fractional coordinates):
Co  0.7500  0.7500  0.7500
Pa  0.0000  0.0000  0.0000
Os  0.2500  0.2500  0.2500
Mn  0.5000  0.5000  0.5000

=====

Entry 12:
Ca7TlGa2: optimized geometry, PBE-GGA.

Calculated values
E_tot in eV per atom: -2.5115
Formation enthalpy at 0 K in eV per atom: -0.268

Cell: 5.1821 5.1821 12.7238 Å, 101.75 101.75 90.00°
Atoms (fractional coordinates):
Ca  0.1035  0.6035  0.2069
Ca  0.3965  0.8965  0.7931
Ca  0.6035  0.1035  0.2069
Ca  0.5000  0.5000  0.0000
Ca  0.7500  0.2500  0.5000
Ca  0.8965  0.3965  0.7931
Ca  0.2500  0.7500  0.5000
Tl  0.0000  0.0000  0.0000
Ga  0.6709  0.6709  0.3419
Ga  0.3291  0.3291  0.6581

=====

Entry 13:
BeHg2Sb: optimized geometry, PBE-GGA.

Calculated values
E_tot in eV per atom: -1.7515
Uncorrected formation energy in eV/f.u.: 1.446
Offset from the most stable computed form in eV per atom: 0.1943

Cell: 3.1358 3.1358 9.3883 Å, 90.00 90.00 90.00°
Atoms (fractional coordinates):
Sb  0.0000  0.0000  0.5755
Hg  0.0000  0.0000  0.9323
Hg  0.5000  0.5000  0.2366
Be  0.5000  0.5000  0.7556

=====

Entry 14:
AcNdPb3: optimized geometry, PBE-GGA.

Calculated values
E_tot in eV per atom: -4.2543
Formation enthalpy at 0 K in eV per atom: -0.254

Cell: 4.8898 4.8892 8.4304 Å, 73.10 73.11 90.02°
Atoms (fractional coordinates):
Ac  0.3355  0.1390  0.0350
Nd  0.0237  0.8271  0.6575
Pb  0.6633  0.9662  0.3787
Pb  0.1628  0.4668  0.3787
Pb  0.8225  0.6260  0.0613

=====

Entry 15:
Cd2FeRuC: optimized geometry, PBE-GGA.

Calculated values
E_tot in eV per atom: -3.7074
Formation enthalpy at 0 K in eV per atom: 2.051

Cell: 4.9809 4.2150 4.9809 Å, 90.00 90.00 90.00°
Atoms (fractional coordinates):
Ru  0.0000  0.5000  0.0000
C  0.5000  0.5000  0.5000
Fe  0.0000  0.0000  0.0000
Cd  0.0000  0.0000  0.5000
Cd  0.5000  0.0000  0.0000

=====

Entry 16:
RbNaCd: optimized geometry, PBE-GGA.

Calculated values
E_tot in eV per atom: -1.0471
Formation enthalpy at 0 K in eV per atom: 0.020
Offset from the most stable computed form in eV per atom: 0.0447

Cell: 4.8082 5.6608 5.6608 Å, 120.00 90.00 90.00°
Atoms (fractional coordinates):
Na  0.1665  0.3333  0.6667
Rb  0.6666  0.6667  0.3333
Cd  0.1668  0.0000  0.0000

=====

Entry 17:
LiLa2Sc: optimized geometry, PBE-GGA.

Calculated values
E_tot in eV per atom: -4.4197
Formation enthalpy at 0 K in eV per atom: 0.105
Offset from the most stable computed form in eV per atom: 0.0175

Cell: 3.5296 3.5296 11.5290 Å, 81.19 81.19 60.00°
Atoms (fractional coordinates):
Li  0.4995  0.4995  0.5014
La  0.0813  0.0813  0.7562
La  0.2523  0.2523  0.2431
Sc  0.6669  0.6669  0.9993

=====

Entry 18:
Y4AlAg: optimized geometry, PBE-GGA.

Calculated values
E_tot in eV per atom: -5.6366
Formation enthalpy at 0 K in eV per atom: -0.228
Offset from the most stable computed form in eV per atom: 0.0000

Cell: 3.5612 3.5612 12.8473 Å, 90.00 90.00 90.00°
Atoms (fractional coordinates):
Y  0.5000  0.5000  0.8531
Y  0.5000  0.5000  0.1469
Y  0.0000  0.0000  0.6478
Y  0.0000  0.0000  0.3522
Al  0.0000  0.0000  0.0000
Ag  0.5000  0.5000  0.5000

=====

Entry 19:
Na3ErSn3S8: optimized geometry, PBE-GGA.

Calculated values
E_tot in eV per atom: -4.4904
Uncorrected formation energy in eV/f.u.: -13.808

Cell: 7.7516 7.7495 8.1962 Å, 118.22 90.00 120.01°
Atoms (fractional coordinates):
Na  0.0000  0.0000  0.0000
Na  0.0000  0.5000  0.0000
Na  0.5000  0.5000  0.0000
Er  0.0000  0.0000  0.5000
Sn  0.5000  0.0000  0.5000
Sn  0.5000  0.5000  0.5000
Sn  0.0000  0.5000  0.5000
S  0.2577  0.5153  0.2747
S  0.7423  0.4847  0.7253
S  0.7590  0.5180  0.2829
S  0.2410  0.4820  0.7171
S  0.7601  0.0235  0.2825
S  0.2399  0.9765  0.7175
S  0.2634  0.0235  0.2825
S  0.7366  0.9765  0.7175

=====

Entry 20:
SrC4: optimized geometry, PBE-GGA.

Calculated values
E_tot in eV per atom: -2.8078
Formation enthalpy at 0 K in eV per atom: 4.908
Offset from the most stable computed form in eV per atom: 3.4129

Cell: 5.4396 5.4396 5.4396 Å, 90.00 90.00 90.00°
Atoms (fractional coordinates):
Sr  0.5000  0.5000  0.5000
C  0.0000  0.0000  0.0000
C  0.5000  0.0000  0.5000
C  0.0000  0.5000  0.5000
C  0.5000  0.5000  0.0000

=====

Entry 21:
Re2HgCl: optimized geometry, PBE-GGA.

Calculated values
E_tot in eV per atom: -5.1389
Uncorrected formation energy in eV/f.u.: 6.489
Offset from the most stable computed form in eV per atom: 1.4404

Cell: 4.5338 4.5338 4.5338 Å, 60.00 60.00 60.00°
Atoms (fractional coordinates):
Re  0.2500  0.2500  0.2500
Re  0.7500  0.7500  0.7500
Hg  0.5000  0.5000  0.5000
Cl  0.0000  0.0000  0.0000

=====

Entry 22:
Er3Ni9Ge2: optimized geometry, PBE-GGA.

Calculated values
E_tot in eV per atom: -5.7625
Formation enthalpy at 0 K in eV per atom: -0.409

Cell: 3.9683 7.6455 7.6455 Å, 70.73 74.96 74.96°
Atoms (fractional coordinates):
Er  0.0000  0.0000  0.0000
Er  0.6930  0.3070  0.3070
Er  0.3070  0.6930  0.6930
Ni  0.0000  0.5000  0.5000
Ni  0.6779  0.9639  0.6804
Ni  0.3221  0.0361  0.3196
Ni  0.6779  0.6804  0.9639
Ni  0.3221  0.3196  0.0361
Ni  0.8812  0.8409  0.3966
Ni  0.1188  0.1591  0.6034
Ni  0.8812  0.3966  0.8409
Ni  0.1188  0.6034  0.1591
Ge  0.5000  0.2774  0.7226
Ge  0.5000  0.7226  0.2774

=====

Entry 23:
Ce4Bi2N: optimized geometry, PBE-GGA.

Calculated values
E_tot in eV per atom: -6.5694
Uncorrected formation energy in eV/f.u.: -6.163
Offset from the most stable computed form in eV per atom: 0.0000

Cell: 4.8280 4.8280 8.9948 Å, 105.57 105.57 90.00°
Atoms (fractional coordinates):
Bi  0.6453  0.6453  0.2907
Bi  0.3547  0.3547  0.7093
Ce  0.8461  0.8461  0.6922
Ce  0.1539  0.1539  0.3078
Ce  0.0000  0.5000  0.0000
Ce  0.5000  0.0000  0.0000
N  0.0000  0.0000  0.0000

=====

Entry 24:
Sc3PaCo8: optimized geometry, PBE-GGA.

Calculated values
E_tot in eV per atom: -7.4405
Formation enthalpy at 0 K in eV per atom: -0.329

Cell: 4.8958 4.8958 8.4983 Å, 73.26 73.26 60.00°
Atoms (fractional coordinates):
Sc  0.3737  0.3737  0.8788
Sc  0.0035  0.0035  0.9895
Sc  0.4966  0.4966  0.5103
Pa  0.8765  0.8765  0.3706
Co  0.9373  0.4388  0.1851
Co  0.4356  0.9373  0.6899
Co  0.4388  0.4388  0.1851
Co  0.9373  0.9373  0.6899
Co  0.1868  0.1868  0.4395
Co  0.6879  0.6879  0.9363
Co  0.4388  0.9373  0.1851
Co  0.9373  0.4356  0.6899

=====

Entry 25:
Sn3RuPt: optimized geometry, PBE-GGA.

Calculated values
E_tot in eV per atom: -4.6535
Formation enthalpy at 0 K in eV per atom: 0.812

Cell: 5.1709 5.1709 5.1709 Å, 90.00 90.00 90.00°
Atoms (fractional coordinates):
Ru  0.5000  0.5000  0.5000
Sn  0.0000  0.5000  0.0000
Sn  0.0000  0.0000  0.5000
Sn  0.5000  0.0000  0.0000
Pt  0.0000  0.0000  0.0000

=====

Table of D(E_F) (states/eV per cell), in record order: 22.6 13.5 19.6 2.4 2.1 3.8 4.4 19.2 9.3 3.3 3.7 9.3 1.2 2.4 5.1 1.5 4.7 7.1 4.2 8.9 5.6 13.7 19.7 16.0 7.7